1.
CuBiOF2 PBE optimized geometry; magnetization = 0.00 μB/atom; density of states at the Fermi level = 3.02 states/eV/cell; energy = -0.3234 Ry per atom; space-group type = P4/mmm, No. 123; formation energy from raw total energies = -5.3 eV per formula unit; distance to the lowest polymorph of the same formula = 0 meV/atom
1.0
4.1195 0.0000 0.0000
0.0000 4.1195 0.0000
0.0000 0.0000 3.8904
Cu Bi O F
1 1 1 2
direct
0.0000 0.0000 0.0000
0.5000 0.5000 0.5000
0.0000 0.0000 0.5000
0.0000 0.5000 0.0000
0.5000 0.0000 0.0000



2.
ScZn2Au2 PBE optimized geometry; formation enthalpy at 0 K = -470 meV per atom; magnetization = 0.00 μB/atom; density of states at the Fermi level = 2.94 states/eV/cell; energy = -0.2614 Ry per atom; space-group type = P2_1/m, No. 11; distance to the lowest polymorph of the same formula = 0 meV/atom
1.0
4.8342 0.0000 0.0000
0.0000 4.9279 0.0000
-2.3746 0.0000 7.2584
Sc Zn Au
2 4 4
direct
0.1085 0.2500 0.2962
0.8915 0.7500 0.7038
0.3155 0.2500 0.7013
0.4934 0.2500 0.0793
0.5066 0.7500 0.9207
0.6845 0.7500 0.2987
0.0974 0.7500 0.1030
0.2966 0.7500 0.5142
0.7034 0.2500 0.4858
0.9026 0.2500 0.8970



3.
Hg3Pd2Pb4 PBE optimized geometry; formation enthalpy at 0 K = -79 meV per atom; magnetization = 0.00 μB/atom; density of states at the Fermi level = 3.19 states/eV/cell; energy = -0.2192 Ry per atom; space-group type = C2/m, No. 12
1.0
7.5422 -2.3481 0.0000
7.5422 2.3481 0.0000
-1.6327 0.0000 6.4355
Hg Pd Pb
3 2 4
direct
0.0000 0.0000 0.0000
0.1103 0.1103 0.6653
0.8897 0.8897 0.3347
0.4001 0.4001 0.0682
0.5999 0.5999 0.9318
0.2224 0.2224 0.1758
0.4136 0.4136 0.6406
0.5864 0.5864 0.3594
0.7776 0.7776 0.8242



4.
Mn2CuHg PBE optimized geometry; formation enthalpy at 0 K = 352 meV per atom; magnetization = 1.80 μB/atom; density of states at the Fermi level = 3.57 states/eV/cell; energy = -0.3919 Ry per atom; space-group type = Cm, No. 8
1.0
4.5968 -1.4500 0.0000
4.5968 1.4500 0.0000
-0.9953 0.0000 4.6886
Mn Cu Hg
2 1 1
direct
0.0000 0.0000 0.0000
0.7475 0.7475 0.2473
0.4893 0.4893 0.4620
0.2418 0.2418 0.7381



5.
K2Pa2CrN6 PBE optimized geometry; magnetization = 0.00 μB/atom; density of states at the Fermi level = 4.05 states/eV/cell; energy = -0.5908 Ry per atom; space-group type = C2/m, No. 12; formation energy from raw total energies = -7.7 eV per formula unit
1.0
2.9014 -4.9751 0.0000
2.9014 4.9751 0.0000
-1.5725 0.0000 6.5229
K Pa Cr N
2 2 1 6
direct
0.1566 0.8434 0.0000
0.8434 0.1566 0.0000
0.3350 0.6650 0.5000
0.6650 0.3350 0.5000
0.0000 0.0000 0.5000
0.0397 0.3505 0.6559
0.2473 0.2473 0.3423
0.3505 0.0397 0.6559
0.6495 0.9603 0.3441
0.7527 0.7527 0.6577
0.9603 0.6495 0.3441



6.
CePm14Tm PBE optimized geometry; formation enthalpy at 0 K = 30 meV per atom; magnetization = 0.07 μB/atom; density of states at the Fermi level = 27.69 states/eV/cell; energy = -0.3511 Ry per atom; space-group type = P4/mmm, No. 123
1.0
7.2715 0.0000 0.0000
0.0000 7.2715 0.0000
0.0000 0.0000 10.2786
Ce Pm Tm
1 14 1
direct
0.0000 0.0000 0.0000
0.0000 0.0000 0.5000
0.0000 0.5000 0.0000
0.0000 0.5000 0.5000
0.2494 0.2494 0.2470
0.2494 0.2494 0.7530
0.2494 0.7506 0.2470
0.2494 0.7506 0.7530
0.5000 0.0000 0.0000
0.5000 0.0000 0.5000
0.5000 0.5000 0.5000
0.7506 0.2494 0.2470
0.7506 0.2494 0.7530
0.7506 0.7506 0.2470
0.7506 0.7506 0.7530
0.5000 0.5000 0.0000



7.
V2IrRh9 PBE optimized geometry; formation enthalpy at 0 K = -237 meV per atom; magnetization = 0.00 μB/atom; density of states at the Fermi level = 13.12 states/eV/cell; energy = -0.5887 Ry per atom; space-group type = P4/mmm, No. 123
1.0
3.8241 0.0000 0.0000
0.0000 3.8241 0.0000
0.0000 0.0000 11.4785
V Ir Rh
2 1 9
direct
0.0000 0.0000 0.1647
0.0000 0.0000 0.8353
0.0000 0.0000 0.5000
0.0000 0.5000 0.0000
0.0000 0.5000 0.3300
0.0000 0.5000 0.6700
0.5000 0.0000 0.0000
0.5000 0.0000 0.3300
0.5000 0.0000 0.6700
0.5000 0.5000 0.1658
0.5000 0.5000 0.5000
0.5000 0.5000 0.8342



8.
NpAgSeO PBE optimized geometry; magnetization = 0.92 μB/atom; density of states at the Fermi level = 12.35 states/eV/cell; energy = -0.5534 Ry per atom; space-group type = R-3m, No. 166; formation energy from raw total energies = -5.9 eV per formula unit
1.0
1.9594 1.1313 11.7676
-1.9594 1.1313 11.7676
0.0000 -2.2625 11.7676
Np Ag Se O
2 2 2 2
direct
0.1253 0.1253 0.1253
0.8747 0.8747 0.8747
0.3078 0.3078 0.3078
0.6922 0.6922 0.6922
0.4053 0.4053 0.4053
0.5947 0.5947 0.5947
0.1904 0.1904 0.1904
0.8096 0.8096 0.8096



9.
K2PmHoS4 PBE optimized geometry; magnetization = 0.00 μB/atom; density of states at the Fermi level = 0.00 states/eV/cell; energy = -0.3952 Ry per atom; space-group type = P2/m, No. 10; formation energy from raw total energies = -15.0 eV per formula unit
1.0
7.1029 0.0000 0.0000
0.0000 4.1000 0.0000
-2.3649 0.0000 7.3801
K Pm Ho S
2 1 1 4
direct
0.0000 0.0000 0.0000
0.5000 0.5000 0.0000
0.0000 0.5000 0.5000
0.5000 0.0000 0.5000
0.2419 0.0000 0.7049
0.2727 0.5000 0.2980
0.7273 0.5000 0.7020
0.7581 0.0000 0.2951



10.
Tb2GaSi PBE optimized geometry; magnetization = 0.00 μB/atom; density of states at the Fermi level = 2.05 states/eV/cell; energy = -0.3647 Ry per atom; space-group type = P4/mmm, No. 123; formation energy from raw total energies = -2.1 eV per formula unit
1.0
4.7497 0.0000 0.0000
0.0000 4.7497 0.0000
0.0000 0.0000 3.9682
Tb Ga Si
2 1 1
direct
0.0000 0.5000 0.0000
0.5000 0.0000 0.0000
0.0000 0.0000 0.5000
0.5000 0.5000 0.5000



11.
PmZn6Ni6 PBE optimized geometry; formation enthalpy at 0 K = -286 meV per atom; magnetization = 0.00 μB/atom; density of states at the Fermi level = 7.02 states/eV/cell; energy = -0.2872 Ry per atom; space-group type = Immm, No. 71
1.0
-2.4828 4.1905 4.3297
2.4828 -4.1905 4.3297
2.4828 4.1905 -4.3297
Pm Zn Ni
1 6 6
direct
0.0000 0.0000 0.0000
0.2049 0.7049 0.5000
0.3444 0.0000 0.3444
0.3518 0.3518 0.0000
0.6482 0.6482 0.0000
0.6556 0.0000 0.6556
0.7951 0.2951 0.5000
0.0000 0.0000 0.5000
0.0000 0.5000 0.0000
0.2317 0.5000 0.7317
0.5000 0.0000 0.0000
0.5000 0.5000 0.5000
0.7683 0.5000 0.2683



12.
UPaP PBE optimized geometry; formation enthalpy at 0 K = -353 meV per atom; magnetization = 0.00 μB/atom; density of states at the Fermi level = 7.18 states/eV/cell; energy = -0.6677 Ry per atom; space-group type = I4mm, No. 107; distance to the lowest polymorph of the same formula = 0 meV/atom
1.0
-1.7981 1.7981 4.5362
1.7981 -1.7981 4.5362
1.7981 1.7981 -4.5362
U Pa P
1 1 1
direct
0.0000 0.0000 0.0000
0.6289 0.6289 0.0000
0.3161 0.3161 0.0000